Entry 1:
AgBNO | GGA-PBE | relaxed

abc: 2.6159 4.9303 5.8163
angles: 90.00 90.00 90.00
Last column: nearest neighbours and their distance in Å.
Fractional positions:
Ag: 0.5000 0.9709 0.1295  2 N 2.19, 2 O 2.25-2.44
Ag: 0.5000 0.4709 0.8705  2 N 2.19, 2 O 2.25-2.44
B: 0.0000 0.5116 0.3850  2 N 1.52-1.57, 2 O 1.54
B: 0.0000 0.0116 0.6150  2 N 1.52-1.57, 2 O 1.54
N: 0.0000 0.8286 0.4058  2 B 1.52-1.57
N: 0.0000 0.3286 0.5942  2 B 1.52-1.57
O: 0.5000 0.4429 0.2563  2 B 1.54
O: 0.5000 0.9429 0.7437  2 B 1.54

Summary:
- Crystal system: orthorhombic
- Energy above the most stable polymorph in this dataset: 0.036 eV per atom
- Space group: Pmc2_1 (26)

***

Entry 2:
AgBNO | GGA-PBE | relaxed

abc: 3.5176 3.5176 6.9010
angles: 90.00 90.00 90.00
Last column: nearest neighbours and their distance in Å.
Fractional positions:
Ag: 0.7500 0.2500 0.5000  4 N 2.25, 4 Ag 2.49
Ag: 0.2500 0.7500 0.5000  4 N 2.25, 4 Ag 2.49
B: 0.7500 0.7500 0.0909  1 N 1.42
B: 0.2500 0.2500 0.9091  1 N 1.42
N: 0.7500 0.7500 0.2961  1 B 1.42
N: 0.2500 0.2500 0.7039  1 B 1.42
O: 0.7500 0.2500 0.0000  4 B 1.87
O: 0.2500 0.7500 0.0000  4 B 1.87

Summary:
- Crystal system: tetragonal
- Energy above the most stable polymorph in this dataset: 0.830 eV per atom
- Space group: P4/nmm (129)

***

Entry 3:
NaAgB4 | GGA-PBE | relaxed

abc: 5.0453 5.0453 5.0453
angles: 145.29 116.80 74.16
Last column: nearest neighbours and their distance in Å.
Fractional positions:
Ag: 0.0000 0.0000 0.0000  12 B 2.67-2.68
B: 0.5842 0.2489 0.3353  3 B 1.74-1.75
B: 0.0864 0.7511 0.3353  3 B 1.74-1.75
B: 0.9136 0.2489 0.6647  3 B 1.74-1.75
B: 0.4158 0.7511 0.6647  3 B 1.74-1.75
Na: 0.5000 0.5000 0.0000  12 B 2.65-2.69

Summary:
- Crystal system: orthorhombic
- Energy above the most stable polymorph in this dataset: 0.008 eV per atom
- Space group: Immm (71)

***

Entry 4:
NaAgB4 | GGA-PBE | relaxed

abc: 3.0388 3.0388 8.0983
angles: 90.00 90.00 120.00
Last column: nearest neighbours and their distance in Å.
Fractional positions:
Ag: 0.0000 0.0000 0.5000  12 B 2.62
B: 0.6667 0.3333 0.2600  3 B 1.75
B: 0.3333 0.6667 0.2600  3 B 1.75
B: 0.6667 0.3333 0.7400  3 B 1.75
B: 0.3333 0.6667 0.7400  3 B 1.75
Na: 0.0000 0.0000 0.0000  12 B 2.74, 6 Na 3.04

Summary:
- Crystal system: hexagonal
- Energy above the most stable polymorph in this dataset: 0.000 eV per atom
- Space group: P6/mmm (191)

***

no.,E (eV/atom)
1,-6.145
2,-5.350
3,-4.765
4,-4.772